(1)
VASP calculation (PBE) on a geometry-optimized KRb2LiBi structure.

## Properties
**DFT formation energy**: -0.15 eV/atom
**Distance to the lowest polymorph of the same formula**: 0.0228 eV per atom
**Symmetry**: P4/mmm, No. 123

```
5
Lattice="7.3864 0.0000 0.0000 0.0000 7.3864 0.0000 0.0000 0.0000 5.4353" Properties=species:S:1:pos:R:3 pbc="T T T"
Li 0.0000 0.0000 2.7176
Rb 3.6932 0.0000 0.0000
K 3.6932 3.6932 2.7176
Bi 0.0000 0.0000 0.0000
Rb 0.0000 3.6932 0.0000
```


(2)
VASP calculation (PBE) on a geometry-optimized KPu2CuCl8 structure.

## Properties
**Symmetry**: P-1, No. 2
**E_form (uncorrected)**: -19.7 eV per formula unit

```
12
Lattice="-6.4306 0.5064 -1.6866 -4.9879 -3.0835 5.4465 -0.2187 7.9496 2.5892" Properties=species:S:1:pos:R:3 pbc="T T T"
Cl -3.8023 0.1770 4.0931
Cl -4.6551 6.9047 3.2285
K -0.1094 3.9748 1.2946
Cl -7.0232 2.0891 4.3426
Cl -4.6140 3.2834 2.0066
Pu -5.6556 0.7223 2.3533
Cu 0.0000 0.0000 0.0000
Cl -4.4363 3.9705 6.2610
Pu -5.9816 4.6502 3.9959
Cl -7.2009 1.4020 0.0882
Cl -6.9820 -1.5321 3.1207
Cl -7.8349 5.1955 2.2561
```


(3)
VASP calculation (PBE) on a geometry-optimized Cs2GaHg7 structure.

## Properties
**DFT formation energy**: -0.13 eV/atom
**Distance to the lowest polymorph of the same formula**: 0.0329 eV per atom
**Symmetry**: Fm-3m, No. 225

```
10
Lattice="8.0745 0.0000 0.0000 4.0372 6.9927 0.0000 4.0372 2.3309 6.5928" Properties=species:S:1:pos:R:3 pbc="T T T"
Hg 6.0066 5.8557 1.6080
Hg 10.1424 3.4679 4.9848
Hg 10.1424 5.8557 1.6080
Hg 8.0745 4.6618 3.2964
Hg 8.0745 2.2740 1.6080
Ga 0.0000 0.0000 0.0000
Cs 4.0372 2.3309 1.6482
Hg 6.0066 3.4679 4.9848
Cs 12.1117 6.9927 4.9446
Hg 8.0745 7.0496 4.9848
```


(4)
VASP calculation (PBE) on a geometry-optimized CePm6Er8 structure.

## Properties
**DFT formation energy**: 0.13 eV/atom
**Symmetry**: R-3, No. 148

```
15
Lattice="7.7837 0.1294 3.7758 2.4186 7.3995 3.7758 0.1754 0.1294 8.6494" Properties=species:S:1:pos:R:3 pbc="T T T"
Pm 8.2721 6.7881 10.2852
Er 5.9871 4.4182 9.3467
Er 2.9706 1.9818 9.6875
Er 4.1221 6.6376 6.7490
Pm 5.6111 5.9029 12.4081
Er 2.7357 5.4041 9.6346
Pm 4.7665 1.7554 3.7929
Er 7.4071 5.6765 6.5135
Pm 2.1056 0.8703 5.9158
Er 6.2555 1.0207 9.4520
Pm 8.2212 3.6213 11.8148
Er 4.3906 3.2401 6.8543
Pm 2.1564 4.0371 4.3862
Er 7.6420 2.2542 6.5664
Ce 0.0000 0.0000 0.0000
```


(5)
VASP calculation (PBE) on a geometry-optimized K2LiY structure.

## Properties
**DFT formation energy**: 0.37 eV/atom
**Symmetry**: Cmmm, No. 65

```
4
Lattice="3.6839 0.0084 0.0000 -1.5161 3.3574 0.0000 0.0000 0.0000 13.4543" Properties=species:S:1:pos:R:3 pbc="T T T"
Y 1.0839 1.6829 10.0907
K 0.0000 0.0000 0.1421
K 0.0000 0.0000 6.5850
Li 1.0839 1.6829 3.3636
```


(6)
VASP calculation (PBE) on a geometry-optimized YHCl2 structure.

## Properties
**Final energy**: -5.151 eV/atom
**Symmetry**: R3m, No. 160

```
4
Lattice="-2.9424 2.1211 -0.9976 -3.1616 -1.6275 -1.2285 -4.4736 -0.1026 5.8835" Properties=species:S:1:pos:R:3 pbc="T T T"
Cl -7.2526 0.7630 1.7342
Cl -3.9933 0.7333 -0.8488
Y -5.8250 0.5325 4.1266
H -6.9513 -1.2595 3.6386
```